First-principles (PBE) data for a relaxed HoTaCd crystal, as listed in OQMD.

Properties
Its formation enthalpy at 0 K is 123.08 kJ per mole of atoms. As for the space group: F-43m. Its total magnetization is 2.5 μB per formula unit. The value obtained for the volume is 27.5 Å³ per atom.

```
HoTaCd
1.0
0.000 3.454 3.454
3.454 0.000 3.454
3.454 3.454 0.000
Ho Ta Cd
1 1 1
direct
0.000 0.000 0.000
0.750 0.750 0.750
0.250 0.250 0.250
```